1.
# NaTe2SN, optimized geometry, DFT PBE-GGA
# formation energy without anion corrections	1.466	eV/atom
# crystal system	tetragonal
# offset from the most stable computed form	5.29	eV per formula unit
# total energy	-2.5454	eV per atom
# symmetry	No. 123
# M_tot	2.14	μB/cell
# volume	25.95	A^3/atom
data_NaTe2SN
_cell_length_a 5.5537
_cell_length_b 5.5537
_cell_length_c 4.2071
_cell_angle_alpha 90.00
_cell_angle_beta 90.00
_cell_angle_gamma 90.00
_space_group_name_H-M_alt 'P 1'
_space_group_IT_number 1
loop_
_space_group_symop_operation_xyz
'x,y,z'
loop_
_atom_site_label
_atom_site_type_symbol
_atom_site_fract_x
_atom_site_fract_y
_atom_site_fract_z
_atom_site_occupancy
Na1 Na 0.0000 0.0000 0.0000 1
Te1 Te 0.0000 0.5000 0.0000 1
Te2 Te 0.5000 0.0000 0.0000 1
S1 S 0.5000 0.5000 0.5000 1
N1 N 0.0000 0.0000 0.5000 1

2.
# NaTeSN2, optimized geometry, DFT PBE-GGA
# formation energy without anion corrections	0.935	eV/atom
# crystal system	tetragonal
# offset from the most stable computed form	0.00	eV per formula unit
# total energy	-4.1126	eV per atom
# symmetry	No. 123
# M_tot	0.83	μB/cell
# volume	17.10	A^3/atom
data_NaTeSN2
_cell_length_a 4.0426
_cell_length_b 4.0426
_cell_length_c 5.2325
_cell_angle_alpha 90.00
_cell_angle_beta 90.00
_cell_angle_gamma 90.00
_space_group_name_H-M_alt 'P 1'
_space_group_IT_number 1
loop_
_space_group_symop_operation_xyz
'x,y,z'
loop_
_atom_site_label
_atom_site_type_symbol
_atom_site_fract_x
_atom_site_fract_y
_atom_site_fract_z
_atom_site_occupancy
Na1 Na 0.0000 0.0000 0.0000 1
Te1 Te 0.5000 0.5000 0.5000 1
S1 S 0.5000 0.5000 0.0000 1
N1 N 0.0000 0.5000 0.5000 1
N2 N 0.5000 0.0000 0.5000 1

3.
# NaTe2SN, optimized geometry, DFT PBE-GGA
# formation energy without anion corrections	0.407	eV/atom
# crystal system	tetragonal
# offset from the most stable computed form	0.00	eV per formula unit
# total energy	-3.6038	eV per atom
# symmetry	No. 123
# M_tot	0.00	μB/cell
# volume	24.03	A^3/atom
data_NaTe2SN
_cell_length_a 6.0472
_cell_length_b 6.0472
_cell_length_c 3.2857
_cell_angle_alpha 90.00
_cell_angle_beta 90.00
_cell_angle_gamma 90.00
_space_group_name_H-M_alt 'P 1'
_space_group_IT_number 1
loop_
_space_group_symop_operation_xyz
'x,y,z'
loop_
_atom_site_label
_atom_site_type_symbol
_atom_site_fract_x
_atom_site_fract_y
_atom_site_fract_z
_atom_site_occupancy
Na1 Na 0.0000 0.0000 0.0000 1
Te1 Te 0.0000 0.5000 0.5000 1
Te2 Te 0.5000 0.0000 0.5000 1
S1 S 0.5000 0.5000 0.5000 1
N1 N 0.5000 0.5000 0.0000 1

4.
# NaTeS2N, optimized geometry, DFT PBE-GGA
# formation energy without anion corrections	0.491	eV/atom
# crystal system	tetragonal
# offset from the most stable computed form	0.00	eV per formula unit
# total energy	-3.7169	eV per atom
# symmetry	No. 123
# M_tot	0.00	μB/cell
# volume	21.32	A^3/atom
data_NaTeS2N
_cell_length_a 5.1375
_cell_length_b 5.1375
_cell_length_c 4.0380
_cell_angle_alpha 90.00
_cell_angle_beta 90.00
_cell_angle_gamma 90.00
_space_group_name_H-M_alt 'P 1'
_space_group_IT_number 1
loop_
_space_group_symop_operation_xyz
'x,y,z'
loop_
_atom_site_label
_atom_site_type_symbol
_atom_site_fract_x
_atom_site_fract_y
_atom_site_fract_z
_atom_site_occupancy
Na1 Na 0.0000 0.0000 0.0000 1
Te1 Te 0.5000 0.5000 0.5000 1
S1 S 0.0000 0.5000 0.5000 1
S2 S 0.5000 0.0000 0.5000 1
N1 N 0.5000 0.5000 0.0000 1

5.
# NaTeS2N, optimized geometry, DFT PBE-GGA
# formation energy without anion corrections	1.304	eV/atom
# crystal system	tetragonal
# offset from the most stable computed form	4.06	eV per formula unit
# total energy	-2.9046	eV per atom
# symmetry	No. 123
# M_tot	3.03	μB/cell
# volume	21.52	A^3/atom
data_NaTeS2N
_cell_length_a 5.0704
_cell_length_b 5.0704
_cell_length_c 4.1847
_cell_angle_alpha 90.00
_cell_angle_beta 90.00
_cell_angle_gamma 90.00
_space_group_name_H-M_alt 'P 1'
_space_group_IT_number 1
loop_
_space_group_symop_operation_xyz
'x,y,z'
loop_
_atom_site_label
_atom_site_type_symbol
_atom_site_fract_x
_atom_site_fract_y
_atom_site_fract_z
_atom_site_occupancy
Na1 Na 0.0000 0.0000 0.0000 1
Te1 Te 0.5000 0.5000 0.5000 1
S1 S 0.0000 0.5000 0.0000 1
S2 S 0.5000 0.0000 0.0000 1
N1 N 0.0000 0.0000 0.5000 1

6.
# NaThSN, optimized geometry, DFT PBE-GGA
# formation energy without anion corrections	-1.596	eV/atom
# crystal system	trigonal
# total energy	-6.8936	eV per atom
# symmetry	No. 166
# M_tot	0.00	μB/cell
# volume	20.14	A^3/atom
data_NaThSN
_cell_length_a 11.1478
_cell_length_b 11.1478
_cell_length_c 11.1478
_cell_angle_alpha 21.37
_cell_angle_beta 21.37
_cell_angle_gamma 21.37
_space_group_name_H-M_alt 'P 1'
_space_group_IT_number 1
loop_
_space_group_symop_operation_xyz
'x,y,z'
loop_
_atom_site_label
_atom_site_type_symbol
_atom_site_fract_x
_atom_site_fract_y
_atom_site_fract_z
_atom_site_occupancy
Na1 Na 0.1961 0.1961 0.1961 1
Na2 Na 0.8039 0.8039 0.8039 1
Th1 Th 0.3773 0.3773 0.3773 1
Th2 Th 0.6227 0.6227 0.6227 1
S1 S 0.1040 0.1040 0.1040 1
S2 S 0.8960 0.8960 0.8960 1
N1 N 0.3058 0.3058 0.3058 1
N2 N 0.6942 0.6942 0.6942 1

7.
# NaTiSN2, optimized geometry, DFT PBE-GGA
# formation energy without anion corrections	-0.052	eV/atom
# crystal system	tetragonal
# offset from the most stable computed form	0.00	eV per formula unit
# total energy	-6.0504	eV per atom
# symmetry	No. 123
# M_tot	2.35	μB/cell
# volume	15.67	A^3/atom
data_NaTiSN2
_cell_length_a 4.0055
_cell_length_b 4.0055
_cell_length_c 4.8822
_cell_angle_alpha 90.00
_cell_angle_beta 90.00
_cell_angle_gamma 90.00
_space_group_name_H-M_alt 'P 1'
_space_group_IT_number 1
loop_
_space_group_symop_operation_xyz
'x,y,z'
loop_
_atom_site_label
_atom_site_type_symbol
_atom_site_fract_x
_atom_site_fract_y
_atom_site_fract_z
_atom_site_occupancy
Na1 Na 0.0000 0.0000 0.0000 1
Ti1 Ti 0.5000 0.5000 0.5000 1
S1 S 0.5000 0.5000 0.0000 1
N1 N 0.0000 0.5000 0.5000 1
N2 N 0.5000 0.0000 0.5000 1

8.
# NaTiSN2, optimized geometry, DFT PBE-GGA
# formation energy without anion corrections	1.660	eV/atom
# crystal system	tetragonal
# offset from the most stable computed form	8.56	eV per formula unit
# total energy	-4.3386	eV per atom
# symmetry	No. 123
# M_tot	2.99	μB/cell
# volume	16.30	A^3/atom
data_NaTiSN2
_cell_length_a 4.0889
_cell_length_b 4.0889
_cell_length_c 4.8746
_cell_angle_alpha 90.00
_cell_angle_beta 90.00
_cell_angle_gamma 90.00
_space_group_name_H-M_alt 'P 1'
_space_group_IT_number 1
loop_
_space_group_symop_operation_xyz
'x,y,z'
loop_
_atom_site_label
_atom_site_type_symbol
_atom_site_fract_x
_atom_site_fract_y
_atom_site_fract_z
_atom_site_occupancy
Na1 Na 0.0000 0.0000 0.0000 1
Ti1 Ti 0.5000 0.5000 0.5000 1
S1 S 0.0000 0.0000 0.5000 1
N1 N 0.0000 0.5000 0.0000 1
N2 N 0.5000 0.0000 0.0000 1

9.
# NaTlS2N, optimized geometry, DFT PBE-GGA
# formation energy without anion corrections	0.767	eV/atom
# crystal system	tetragonal
# offset from the most stable computed form	0.00	eV per formula unit
# total energy	-3.2859	eV per atom
# symmetry	No. 123
# M_tot	2.42	μB/cell
# volume	25.04	A^3/atom
data_NaTlS2N
_cell_length_a 5.2497
_cell_length_b 5.2497
_cell_length_c 4.5434
_cell_angle_alpha 90.00
_cell_angle_beta 90.00
_cell_angle_gamma 90.00
_space_group_name_H-M_alt 'P 1'
_space_group_IT_number 1
loop_
_space_group_symop_operation_xyz
'x,y,z'
loop_
_atom_site_label
_atom_site_type_symbol
_atom_site_fract_x
_atom_site_fract_y
_atom_site_fract_z
_atom_site_occupancy
Na1 Na 0.0000 0.0000 0.0000 1
Tl1 Tl 0.5000 0.5000 0.5000 1
S1 S 0.0000 0.5000 0.5000 1
S2 S 0.5000 0.0000 0.5000 1
N1 N 0.5000 0.5000 0.0000 1

10.
# NaTlS2N, optimized geometry, DFT PBE-GGA
# formation energy without anion corrections	1.046	eV/atom
# crystal system	tetragonal
# offset from the most stable computed form	1.39	eV per formula unit
# total energy	-3.0071	eV per atom
# symmetry	No. 123
# M_tot	5.02	μB/cell
# volume	25.67	A^3/atom
data_NaTlS2N
_cell_length_a 5.2571
_cell_length_b 5.2571
_cell_length_c 4.6437
_cell_angle_alpha 90.00
_cell_angle_beta 90.00
_cell_angle_gamma 90.00
_space_group_name_H-M_alt 'P 1'
_space_group_IT_number 1
loop_
_space_group_symop_operation_xyz
'x,y,z'
loop_
_atom_site_label
_atom_site_type_symbol
_atom_site_fract_x
_atom_site_fract_y
_atom_site_fract_z
_atom_site_occupancy
Na1 Na 0.0000 0.0000 0.0000 1
Tl1 Tl 0.5000 0.5000 0.5000 1
S1 S 0.0000 0.5000 0.0000 1
S2 S 0.5000 0.0000 0.0000 1
N1 N 0.0000 0.0000 0.5000 1

11.
# NaUSN, optimized geometry, DFT PBE-GGA
# formation energy without anion corrections	-1.151	eV/atom
# crystal system	trigonal
# total energy	-7.4157	eV per atom
# symmetry	No. 160
# M_tot	2.00	μB/cell
# volume	18.73	A^3/atom
data_NaUSN
_cell_length_a 6.6954
_cell_length_b 6.6954
_cell_length_c 6.6954
_cell_angle_alpha 32.01
_cell_angle_beta 32.01
_cell_angle_gamma 32.01
_space_group_name_H-M_alt 'P 1'
_space_group_IT_number 1
loop_
_space_group_symop_operation_xyz
'x,y,z'
loop_
_atom_site_label
_atom_site_type_symbol
_atom_site_fract_x
_atom_site_fract_y
_atom_site_fract_z
_atom_site_occupancy
Na1 Na 0.0000 0.0000 0.0000 1
U1 U 0.4810 0.4810 0.4810 1
S1 S 0.2407 0.2407 0.2407 1
N1 N 0.7713 0.7713 0.7713 1

12.
# NaWS2N, optimized geometry, DFT PBE-GGA
# formation energy without anion corrections	-0.331	eV/atom
# crystal system	tetragonal
# offset from the most stable computed form	0.00	eV per formula unit
# total energy	-6.5015	eV per atom
# symmetry	No. 123
# M_tot	0.00	μB/cell
# volume	18.09	A^3/atom
data_NaWS2N
_cell_length_a 4.8386
_cell_length_b 4.8386
_cell_length_c 3.8633
_cell_angle_alpha 90.00
_cell_angle_beta 90.00
_cell_angle_gamma 90.00
_space_group_name_H-M_alt 'P 1'
_space_group_IT_number 1
loop_
_space_group_symop_operation_xyz
'x,y,z'
loop_
_atom_site_label
_atom_site_type_symbol
_atom_site_fract_x
_atom_site_fract_y
_atom_site_fract_z
_atom_site_occupancy
Na1 Na 0.0000 0.0000 0.0000 1
W1 W 0.5000 0.5000 0.5000 1
S1 S 0.0000 0.5000 0.5000 1
S2 S 0.5000 0.0000 0.5000 1
N1 N 0.5000 0.5000 0.0000 1

13.
# NaWS2N, optimized geometry, DFT PBE-GGA
# formation energy without anion corrections	2.150	eV/atom
# crystal system	tetragonal
# offset from the most stable computed form	12.40	eV per formula unit
# total energy	-4.0209	eV per atom
# symmetry	No. 123
# M_tot	0.00	μB/cell
# volume	16.37	A^3/atom
data_NaWS2N
_cell_length_a 4.6431
_cell_length_b 4.6431
_cell_length_c 3.7960
_cell_angle_alpha 90.00
_cell_angle_beta 90.00
_cell_angle_gamma 90.00
_space_group_name_H-M_alt 'P 1'
_space_group_IT_number 1
loop_
_space_group_symop_operation_xyz
'x,y,z'
loop_
_atom_site_label
_atom_site_type_symbol
_atom_site_fract_x
_atom_site_fract_y
_atom_site_fract_z
_atom_site_occupancy
Na1 Na 0.0000 0.0000 0.0000 1
W1 W 0.5000 0.5000 0.5000 1
S1 S 0.0000 0.5000 0.0000 1
S2 S 0.5000 0.0000 0.0000 1
N1 N 0.0000 0.0000 0.5000 1

14.
# NaYS2N, optimized geometry, DFT PBE-GGA
# formation energy without anion corrections	-0.319	eV/atom
# crystal system	tetragonal
# offset from the most stable computed form	0.00	eV per formula unit
# total energy	-5.1916	eV per atom
# symmetry	No. 123
# M_tot	2.54	μB/cell
# volume	26.34	A^3/atom
data_NaYS2N
_cell_length_a 5.3144
_cell_length_b 5.3144
_cell_length_c 4.6636
_cell_angle_alpha 90.00
_cell_angle_beta 90.00
_cell_angle_gamma 90.00
_space_group_name_H-M_alt 'P 1'
_space_group_IT_number 1
loop_
_space_group_symop_operation_xyz
'x,y,z'
loop_
_atom_site_label
_atom_site_type_symbol
_atom_site_fract_x
_atom_site_fract_y
_atom_site_fract_z
_atom_site_occupancy
Na1 Na 0.0000 0.0000 0.0000 1
Y1 Y 0.5000 0.5000 0.5000 1
S1 S 0.0000 0.5000 0.5000 1
S2 S 0.5000 0.0000 0.5000 1
N1 N 0.5000 0.5000 0.0000 1

15.
# NaYS2N, optimized geometry, DFT PBE-GGA
# formation energy without anion corrections	0.221	eV/atom
# crystal system	tetragonal
# offset from the most stable computed form	2.70	eV per formula unit
# total energy	-4.6513	eV per atom
# symmetry	No. 123
# M_tot	3.01	μB/cell
# volume	19.96	A^3/atom
data_NaYS2N
_cell_length_a 4.9315
_cell_length_b 4.9315
_cell_length_c 4.1046
_cell_angle_alpha 90.00
_cell_angle_beta 90.00
_cell_angle_gamma 90.00
_space_group_name_H-M_alt 'P 1'
_space_group_IT_number 1
loop_
_space_group_symop_operation_xyz
'x,y,z'
loop_
_atom_site_label
_atom_site_type_symbol
_atom_site_fract_x
_atom_site_fract_y
_atom_site_fract_z
_atom_site_occupancy
Na1 Na 0.0000 0.0000 0.0000 1
Y1 Y 0.5000 0.5000 0.5000 1
S1 S 0.0000 0.5000 0.0000 1
S2 S 0.5000 0.0000 0.0000 1
N1 N 0.0000 0.0000 0.5000 1